Record 1
The following is a PBE calculation of a geometry-optimized In6SbI12 structure, from Alexandria via LeMat-Bulk.

abc: 9.9920 9.9920 9.9920
angles: 69.19 69.19 69.19
Last column: nearest neighbours and their distance in Å.
Positions (direct):
1 I 0.4916 0.1554 0.6290  3 In 3.18-3.31
2 I 0.5084 0.8446 0.3710  3 In 3.18-3.31
3 I 0.6290 0.4916 0.1554  3 In 3.18-3.31
4 I 0.8446 0.3710 0.5084  3 In 3.18-3.31
5 I 0.8726 0.0452 0.3122  1 Sb 3.05, 2 In 3.23-3.31
6 I 0.3122 0.8726 0.0452  1 Sb 3.05, 2 In 3.23-3.31
7 I 0.3710 0.5084 0.8446  3 In 3.18-3.31
8 I 0.1274 0.9548 0.6878  1 Sb 3.05, 2 In 3.23-3.31
9 I 0.6878 0.1274 0.9548  1 Sb 3.05, 2 In 3.23-3.31
10 I 0.0452 0.3122 0.8726  1 Sb 3.05, 2 In 3.23-3.31
11 I 0.1554 0.6290 0.4916  3 In 3.18-3.31
12 I 0.9548 0.6878 0.1274  1 Sb 3.05, 2 In 3.23-3.31
13 Sb 0.0000 0.0000 0.0000  6 I 3.05
14 In 0.1757 0.2928 0.5320  5 I 3.18-3.31
15 In 0.4680 0.8243 0.7072  5 I 3.18-3.31
16 In 0.7072 0.4680 0.8243  5 I 3.18-3.31
17 In 0.5320 0.1757 0.2928  5 I 3.18-3.31
18 In 0.8243 0.7072 0.4680  5 I 3.18-3.31
19 In 0.2928 0.5320 0.1757  5 I 3.18-3.31

Values from the calculation:
Space-group type: R-3, No. 148



Record 2
The following is a PBE calculation of a geometry-optimized In2SbI5 structure, from Alexandria via LeMat-Bulk.

abc: 8.5858 8.5788 8.4331
angles: 119.73 122.64 89.14
Last column: nearest neighbours and their distance in Å.
Positions (direct):
1 In 0.2136 0.6738 0.3450  4 I 3.33-3.57
2 In 0.6718 0.1342 0.3448  4 I 3.34-3.55
3 I 0.7342 0.8235 0.5576  1 Sb 2.79
4 I 0.8296 0.3199 0.1496  1 Sb 3.00
5 I 0.7816 0.7773 0.0569  1 Sb 3.04, 1 In 3.34
6 I 0.2526 0.7511 0.0050  1 Sb 3.09, 2 In 3.42-3.44
7 I 0.2812 0.2753 0.0596  1 Sb 3.05, 1 In 3.33
8 Sb 0.0123 0.0220 0.0356  5 I 2.79-3.09

Values from the calculation:
Space-group type: P1, No. 1



Record 3
The following is a PBE calculation of a geometry-optimized In2Sb2I structure, from Alexandria via LeMat-Bulk.

abc: 4.3551 4.3551 9.3910
angles: 76.59 76.59 90.00
Last column: nearest neighbours and their distance in Å.
Positions (direct):
1 Sb 0.7500 0.2500 0.5000  4 Sb 3.08
2 Sb 0.2500 0.7500 0.5000  4 Sb 3.08
3 In 0.4025 0.4025 0.1951  1 In 3.46, 4 Sb 3.47, 4 I 3.53
4 In 0.5975 0.5975 0.8049  1 In 3.46, 4 Sb 3.47, 4 I 3.53
5 I 0.0000 0.0000 0.0000  8 In 3.53

Values from the calculation:
Space-group type: I4/mmm, No. 139
ΔE to the lowest computed polymorph, meV per atom: 89



no.,raw total energy (eV per cell),D(E_F) (states/eV/f.u.)
1,-45.3,21.5
2,-20.2,0.0
3,-15.5,2.5